1.
Here is Ac3Zn2Rh after structural relaxation from Alexandria via LeMat-Bulk. Energies are from PBE. Values from VASP.

```
&SYSTEM
  ibrav = 0, nat = 24, ntyp = 3
/
ATOMIC_SPECIES
Ac 227.00 Ac.upf
Zn 65.41 Zn.upf
Rh 102.91 Rh.upf
CELL_PARAMETERS angstrom
12.894 0.000 0.000
0.000 4.236 0.000
0.000 0.000 13.260
ATOMIC_POSITIONS angstrom
Ac 0.600 1.059 1.751
Ac 1.531 3.177 7.292
Ac 2.930 1.059 10.527
Ac 3.517 3.177 3.897
Ac 4.915 1.059 0.662
Ac 5.847 3.177 8.381
Ac 7.047 1.059 4.878
Ac 7.978 3.177 12.598
Ac 9.377 1.059 9.363
Ac 9.964 3.177 2.733
Ac 11.362 1.059 5.968
Ac 12.294 3.177 11.508
Zn 0.265 3.177 4.187
Zn 2.450 3.177 13.125
Zn 3.996 1.059 6.495
Zn 6.182 1.059 10.817
Zn 6.712 3.177 2.443
Zn 8.897 3.177 6.765
Zn 10.443 1.059 0.135
Zn 12.629 1.059 9.073
Rh 1.698 1.059 5.044
Rh 4.749 3.177 11.674
Rh 8.145 1.059 1.586
Rh 11.196 3.177 8.216
```

Summary:
E = -4.10 eV per atom
volume = 181.0 Å³/f.u.
density of states at the Fermi level = 0.98 states/eV/atom
formation energy = -0.3998 eV/atom



2.
Here is AgMo2As after structural relaxation from Alexandria via LeMat-Bulk. Energies are from PBE. Values from VASP.

```
&SYSTEM
  ibrav = 0, nat = 4, ntyp = 3
/
ATOMIC_SPECIES
Ag 107.87 Ag.upf
Mo 95.94 Mo.upf
As 74.92 As.upf
CELL_PARAMETERS angstrom
2.837 0.000 0.000
0.000 4.419 0.000
-0.666 0.000 5.302
ATOMIC_POSITIONS angstrom
Ag 0.000 0.000 0.000
Mo 0.666 2.210 3.819
Mo 1.445 0.000 2.625
As 1.273 2.210 1.156
```

Summary:
E = -6.95 eV per atom
volume = 66.5 Å³/f.u.
density of states at the Fermi level = 0.53 states/eV/atom
formation energy = 0.3383 eV/atom



3.
Here is Rb2LiAgBr6 after structural relaxation from Alexandria via LeMat-Bulk. Energies are from PBE. Values from VASP.

```
&SYSTEM
  ibrav = 0, nat = 10, ntyp = 4
/
ATOMIC_SPECIES
Rb 85.47 Rb.upf
Li 6.94 Li.upf
Ag 107.87 Ag.upf
Br 79.90 Br.upf
CELL_PARAMETERS angstrom
-3.815 3.815 5.399
3.815 -3.815 5.399
3.815 3.815 -5.399
ATOMIC_POSITIONS angstrom
Rb 3.815 0.000 2.700
Rb 0.000 3.815 2.700
Li 0.000 0.000 0.000
Ag 0.000 0.000 5.399
Br 1.893 1.893 0.000
Br 1.923 -1.923 5.399
Br 0.000 0.000 2.769
Br 0.000 0.000 8.030
Br -1.923 1.923 5.399
Br 1.923 1.923 5.399
```

Summary:
E = -2.68 eV per atom
volume = 314.4 Å³/f.u.
density of states at the Fermi level = 0.59 states/eV/atom



4.
Here is LiPuCd2 after structural relaxation from Alexandria via LeMat-Bulk. Energies are from PBE. Values from VASP.

```
&SYSTEM
  ibrav = 0, nat = 4, ntyp = 3
/
ATOMIC_SPECIES
Li 6.94 Li.upf
Pu 244.00 Pu.upf
Cd 112.41 Cd.upf
CELL_PARAMETERS angstrom
3.150 0.000 0.000
0.000 3.150 0.000
0.000 0.000 8.563
ATOMIC_POSITIONS angstrom
Li 0.000 0.000 0.000
Pu 0.000 0.000 4.282
Cd 1.575 1.575 1.786
Cd 1.575 1.575 6.777
```

Summary:
E = -4.66 eV per atom
volume = 85.0 Å³/f.u.
relative energy among the computed polymorphs = 0 meV/atom
density of states at the Fermi level = 1.40 states/eV/atom
formation energy = -0.1390 eV/atom



5.
Here is Be3CdW after structural relaxation from Alexandria via LeMat-Bulk. Energies are from PBE. Values from VASP.

```
&SYSTEM
  ibrav = 0, nat = 5, ntyp = 3
/
ATOMIC_SPECIES
Be 9.01 Be.upf
Cd 112.41 Cd.upf
W 183.84 W.upf
CELL_PARAMETERS angstrom
4.188 0.000 0.000
0.000 4.188 0.000
0.000 0.000 4.188
ATOMIC_POSITIONS angstrom
Be 0.000 0.000 2.094
Be 0.000 2.094 0.000
Be 2.094 0.000 0.000
Cd 0.000 0.000 0.000
W 2.094 2.094 2.094
```

Summary:
E = -3.37 eV per atom
volume = 73.4 Å³/f.u.
relative energy among the computed polymorphs = 314 meV/atom
density of states at the Fermi level = 0.53 states/eV/atom
formation energy = 1.6405 eV/atom



6.
Here is YMgSc2Pt2 after structural relaxation from Alexandria via LeMat-Bulk. Energies are from PBE. Values from VASP.

```
&SYSTEM
  ibrav = 0, nat = 6, ntyp = 4
/
ATOMIC_SPECIES
Y 88.91 Y.upf
Mg 24.30 Mg.upf
Sc 44.96 Sc.upf
Pt 195.08 Pt.upf
CELL_PARAMETERS angstrom
4.738 0.000 0.000
-2.369 4.103 0.000
0.000 0.000 6.371
ATOMIC_POSITIONS angstrom
Y 0.000 0.000 0.000
Mg 0.000 0.000 3.186
Sc 0.000 2.736 4.328
Sc 2.369 1.368 2.043
Pt 0.000 2.736 1.594
Pt 2.369 1.368 4.778
```

Summary:
E = -6.39 eV per atom
volume = 123.9 Å³/f.u.
density of states at the Fermi level = 0.74 states/eV/atom
formation energy = -0.9235 eV/atom



7.
Here is Sr2Li2CaTl5 after structural relaxation from Alexandria via LeMat-Bulk. Energies are from PBE. Values from VASP.

```
&SYSTEM
  ibrav = 0, nat = 20, ntyp = 4
/
ATOMIC_SPECIES
Sr 87.62 Sr.upf
Li 6.94 Li.upf
Ca 40.08 Ca.upf
Tl 204.38 Tl.upf
CELL_PARAMETERS angstrom
11.798 0.000 0.000
0.000 11.798 0.000
0.000 0.000 4.013
ATOMIC_POSITIONS angstrom
Sr 2.110 3.789 0.000
Sr 3.789 9.688 0.000
Sr 8.008 2.110 0.000
Sr 9.688 8.008 0.000
Li 1.410 7.309 0.000
Li 4.488 1.410 0.000
Li 7.309 10.387 0.000
Li 10.387 4.488 0.000
Ca 0.000 0.000 0.000
Ca 5.899 5.899 0.000
Tl 0.000 5.899 2.007
Tl 0.745 9.295 2.007
Tl 2.502 0.745 2.007
Tl 3.396 6.644 2.007
Tl 5.154 3.396 2.007
Tl 5.899 0.000 2.007
Tl 6.644 8.401 2.007
Tl 8.401 5.154 2.007
Tl 9.295 11.053 2.007
Tl 11.053 2.502 2.007
```

Summary:
E = -2.45 eV per atom
volume = 279.3 Å³/f.u.
density of states at the Fermi level = 0.34 states/eV/atom
formation energy = -0.3430 eV/atom



8.
Here is Zr2Cd2Os after structural relaxation from Alexandria via LeMat-Bulk. Energies are from PBE. Values from VASP.

```
&SYSTEM
  ibrav = 0, nat = 10, ntyp = 3
/
ATOMIC_SPECIES
Zr 91.22 Zr.upf
Cd 112.41 Cd.upf
Os 190.23 Os.upf
CELL_PARAMETERS angstrom
7.267 0.000 0.000
0.000 7.267 0.000
0.000 0.000 3.835
ATOMIC_POSITIONS angstrom
Zr 1.285 2.348 0.000
Zr 2.348 5.981 0.000
Zr 4.919 1.285 0.000
Zr 5.981 4.919 0.000
Cd 0.947 4.580 1.918
Cd 2.687 0.947 1.918
Cd 4.580 6.320 1.918
Cd 6.320 2.687 1.918
Os 0.000 0.000 1.918
Os 3.633 3.633 1.918
```

Summary:
E = -5.72 eV per atom
volume = 101.3 Å³/f.u.
relative energy among the computed polymorphs = 0 meV/atom
density of states at the Fermi level = 0.81 states/eV/atom
formation energy = 0.3108 eV/atom



9.
Here is Fe5Ge2N6 after structural relaxation from Alexandria via LeMat-Bulk. Energies are from PBE. Values from VASP.

```
&SYSTEM
  ibrav = 0, nat = 26, ntyp = 3
/
ATOMIC_SPECIES
Fe 55.84 Fe.upf
Ge 72.64 Ge.upf
N 14.01 N.upf
CELL_PARAMETERS angstrom
7.161 -2.330 0.000
7.161 2.330 0.000
-0.950 0.000 9.915
ATOMIC_POSITIONS angstrom
Fe 5.203 1.653 4.665
Fe 6.449 1.412 7.436
Fe 6.315 1.085 1.380
Fe 8.644 1.653 0.292
Fe 7.532 1.085 3.577
Fe 5.840 -1.085 6.337
Fe 4.728 -1.653 9.622
Fe 7.057 -1.085 8.535
Fe 6.924 -1.412 2.479
Fe 8.169 -1.653 5.250
Ge 3.198 0.150 9.006
Ge 3.673 -0.150 4.048
Ge 9.699 0.150 5.867
Ge 10.174 -0.150 0.909
N 4.800 1.535 0.387
N 5.828 1.832 3.003
N 8.019 1.832 1.954
N 5.662 0.633 6.022
N 9.047 1.535 4.570
N 7.235 0.633 8.850
N 6.138 -0.633 1.065
N 4.325 -1.535 5.345
N 7.710 -0.633 3.892
N 5.353 -1.832 7.961
N 7.544 -1.832 6.911
N 8.572 -1.535 9.527
```

Summary:
E = -7.60 eV per atom
volume = 165.5 Å³/f.u.
density of states at the Fermi level = 0.62 states/eV/atom



10.
Here is SrZrCl after structural relaxation from Alexandria via LeMat-Bulk. Energies are from PBE. Values from VASP.

```
&SYSTEM
  ibrav = 0, nat = 12, ntyp = 3
/
ATOMIC_SPECIES
Sr 87.62 Sr.upf
Zr 91.22 Zr.upf
Cl 35.45 Cl.upf
CELL_PARAMETERS angstrom
7.982 0.000 0.000
0.000 7.982 0.000
0.000 0.000 7.982
ATOMIC_POSITIONS angstrom
Sr 0.000 0.000 0.000
Sr 0.000 3.991 3.991
Sr 3.991 0.000 3.991
Sr 3.991 3.991 0.000
Zr 1.995 1.995 5.986
Zr 1.995 5.986 1.995
Zr 5.986 1.995 1.995
Zr 5.986 5.986 5.986
Cl 1.995 1.995 1.995
Cl 1.995 5.986 5.986
Cl 5.986 1.995 5.986
Cl 5.986 5.986 1.995
```

Summary:
E = -3.37 eV per atom
volume = 127.1 Å³/f.u.
relative energy among the computed polymorphs = 1175 meV/atom
density of states at the Fermi level = 0.58 states/eV/atom



11.
Here is PrEr6Tl2 after structural relaxation from Alexandria via LeMat-Bulk. Energies are from PBE. Values from VASP.

```
&SYSTEM
  ibrav = 0, nat = 9, ntyp = 3
/
ATOMIC_SPECIES
Pr 140.91 Pr.upf
Er 167.26 Er.upf
Tl 204.38 Tl.upf
CELL_PARAMETERS angstrom
6.335 -1.865 0.000
6.335 1.865 0.000
-3.637 0.000 11.467
ATOMIC_POSITIONS angstrom
Pr 0.000 0.000 0.000
Er -1.133 0.000 4.013
Er 2.404 0.000 4.803
Er 3.495 0.000 1.455
Er 5.539 0.000 10.012
Er 6.630 0.000 6.664
Er 10.167 0.000 7.454
Tl 1.691 0.000 8.943
Tl 7.343 0.000 2.524
```

Summary:
E = -4.24 eV per atom
volume = 270.9 Å³/f.u.
density of states at the Fermi level = 1.35 states/eV/atom
formation energy = -0.1370 eV/atom



- Which of these has the highest density of states at the Fermi level?
  LiPuCd2



- The highest E belongs to which entry?
  Sr2Li2CaTl5